A relaxed structure of CaZr2Mo. Source: the Alexandria database, functional PBE.

Computed properties:
formation energy from the elements	0.32	eV/atom
total magnetic moment	0.0	μB/f.u.
DOS(E_F)	5.35	states/eV/f.u.
calculated density	5.43	g cm⁻³
excess energy over the best structure of this formula in the dataset	197	meV per atom

Cell: 3.6415 3.6415 7.3463 Å, 90.00 90.00 90.00°
Space group P4mm (No. 99)
Symmetry-distinct sites (fractional):
Ca 0.0000 0.0000 0.0000 x1
Zr 0.0000 0.0000 0.4452 x1
Zr 0.5000 0.5000 0.6628 x1
Mo 0.5000 0.5000 0.2872 x1